# 1
A relaxed structure of Tl3CuBr6. Source: Alexandria via LeMat-Bulk, functional GGA-PBE.

Properties
mass density: 6000 kg/m³
Fermi-level density of states: 0.8 states/eV/f.u.
formation energy (no corrections): -0.5928 eV/atom

a = 7.255 Å, b = 7.942 Å, c = 13.143 Å
α = 90.00°, β = 122.32°, γ = 90.00°
Space group P2_1/c (No. 14)
Inequivalent atoms, fractional coordinates:
Tl1 0.000 0.000 0.000 (multiplicity 2)
Tl2 0.284 0.087 0.753 (multiplicity 4)
Cu1 0.500 0.000 0.500 (multiplicity 2)
Br1 0.190 0.503 0.754 (multiplicity 4)
Br2 0.254 0.668 0.032 (multiplicity 4)
Br3 0.343 0.207 0.031 (multiplicity 4)

***

# 2
A relaxed structure of InRh2Br. Source: Alexandria via LeMat-Bulk, functional GGA-PBE.

Properties
mass density: 8524 kg/m³
Fermi-level density of states: 4.3 states/eV/f.u.
formation energy (no corrections): 0.1718 eV/atom

a = 3.314 Å, b = 3.314 Å, c = 7.104 Å
α = 90.00°, β = 90.00°, γ = 90.00°
Space group P4mm (No. 99)
Inequivalent atoms, fractional coordinates:
In1 0.000 0.000 0.000 (multiplicity 1)
Rh1 0.000 0.000 0.395 (multiplicity 1)
Rh2 0.500 0.500 0.206 (multiplicity 1)
Br1 0.500 0.500 0.630 (multiplicity 1)

***

# 3
A relaxed structure of RbTaAl2. Source: Alexandria via LeMat-Bulk, functional GGA-PBE.

Properties
ΔH_f (0 K): 1.08 eV per atom
mass density: 5911 kg/m³
Fermi-level density of states: 2.6 states/eV/f.u.

a = 7.114 Å, b = 7.114 Å, c = 7.114 Å
α = 90.00°, β = 90.00°, γ = 90.00°
Space group Fm-3m (No. 225)
Inequivalent atoms, fractional coordinates:
Rb1 0.000 0.000 0.000 (multiplicity 4)
Ta1 0.000 0.000 0.500 (multiplicity 4)
Al1 0.250 0.250 0.250 (multiplicity 8)

***

# 4
A relaxed structure of Nb5Ga2Si2. Source: Alexandria via LeMat-Bulk, functional GGA-PBE.

Properties
mass density: 7185 kg/m³
Fermi-level density of states: 3.0 states/eV/f.u.
formation energy (no corrections): -0.4677 eV/atom

a = 13.200 Å, b = 6.877 Å, c = 6.723 Å
α = 90.00°, β = 90.00°, γ = 90.00°
Space group Cmce (No. 64)
Inequivalent atoms, fractional coordinates:
Nb1 0.000 0.000 0.000 (multiplicity 4)
Nb2 0.128 0.170 0.329 (multiplicity 16)
Ga1 0.213 0.000 0.000 (multiplicity 8)
Si1 0.000 0.125 0.625 (multiplicity 8)

***

# 5
A relaxed structure of SrCaCu2. Source: Alexandria via LeMat-Bulk, functional GGA-PBE.

Properties
ΔH_f (0 K): 0.00 eV per atom
mass density: 3608 kg/m³
Fermi-level density of states: 1.7 states/eV/f.u.

a = 4.129 Å, b = 4.178 Å, c = 13.596 Å
α = 90.00°, β = 90.00°, γ = 90.00°
Space group Imm2 (No. 44)
Inequivalent atoms, fractional coordinates:
Sr1 0.000 0.000 0.000 (multiplicity 2)
Ca1 0.000 0.500 0.747 (multiplicity 2)
Cu1 0.000 0.000 0.590 (multiplicity 2)
Cu2 0.000 0.500 0.184 (multiplicity 2)

***

# 6
A relaxed structure of CuRe3Ru. Source: Alexandria via LeMat-Bulk, functional GGA-PBE.

Properties
ΔH_f (0 K): 2.36 eV per atom
mass density: 11942 kg/m³
Fermi-level density of states: 6.8 states/eV/f.u.

a = 4.650 Å, b = 4.650 Å, c = 4.650 Å
α = 90.00°, β = 90.00°, γ = 90.00°
Space group Pm-3m (No. 221)
Inequivalent atoms, fractional coordinates:
Cu1 0.000 0.000 0.000 (multiplicity 1)
Re1 0.000 0.500 0.500 (multiplicity 3)
Ru1 0.500 0.500 0.500 (multiplicity 1)

***

# 7
A relaxed structure of Dy3BeC2. Source: Alexandria via LeMat-Bulk, functional GGA-PBE.

Properties
ΔH_f (0 K): 0.06 eV per atom
mass density: 8072 kg/m³
Fermi-level density of states: 3.7 states/eV/f.u.

a = 6.776 Å, b = 8.651 Å, c = 7.307 Å
α = 90.00°, β = 90.00°, γ = 90.00°
Space group Imma (No. 74)
Inequivalent atoms, fractional coordinates:
Dy1 0.000 0.250 0.038 (multiplicity 4)
Dy2 0.250 0.047 0.750 (multiplicity 8)
Be1 0.000 0.250 0.434 (multiplicity 4)
C1 0.000 0.250 0.684 (multiplicity 4)
C2 0.250 0.250 0.250 (multiplicity 4)

***

# 8
A relaxed structure of MgSbPb2. Source: Alexandria via LeMat-Bulk, functional GGA-PBE.

Properties
mass density: 8239 kg/m³
Fermi-level density of states: 1.9 states/eV/f.u.
formation energy (no corrections): 0.0716 eV/atom

a = 4.463 Å, b = 5.163 Å, c = 9.806 Å
α = 90.00°, β = 90.00°, γ = 90.00°
Space group Cmmm (No. 65)
Inequivalent atoms, fractional coordinates:
Mg1 0.000 0.000 0.000 (multiplicity 2)
Sb1 0.000 0.000 0.500 (multiplicity 2)
Pb1 0.000 0.500 0.234 (multiplicity 4)

***

# 9
A relaxed structure of NdTmBi. Source: Alexandria via LeMat-Bulk, functional GGA-PBE.

Properties
ΔH_f (0 K): -0.46 eV per atom
mass density: 9436 kg/m³
Fermi-level density of states: 2.5 states/eV/f.u.

a = 4.081 Å, b = 4.081 Å, c = 11.038 Å
α = 90.00°, β = 90.00°, γ = 90.00°
Space group I4mm (No. 107)
Inequivalent atoms, fractional coordinates:
Nd1 0.000 0.000 0.000 (multiplicity 2)
Tm1 0.000 0.000 0.690 (multiplicity 2)
Bi1 0.000 0.000 0.333 (multiplicity 2)

***

# 10
A relaxed structure of KSr2CaF. Source: Alexandria via LeMat-Bulk, functional GGA-PBE.

Properties
mass density: 2317 kg/m³
Fermi-level density of states: 3.0 states/eV/f.u.
formation energy (no corrections): -0.9549 eV/atom

a = 5.543 Å, b = 5.543 Å, c = 6.378 Å
α = 90.00°, β = 90.00°, γ = 90.00°
Space group P4/mmm (No. 123)
Inequivalent atoms, fractional coordinates:
K1 0.000 0.000 0.000 (multiplicity 1)
Sr1 0.000 0.500 0.500 (multiplicity 2)
Ca1 0.500 0.500 0.000 (multiplicity 1)
F1 0.000 0.000 0.500 (multiplicity 1)

***

# 11
A relaxed structure of Be2InI. Source: Alexandria via LeMat-Bulk, functional GGA-PBE.

Properties
mass density: 4490 kg/m³
Fermi-level density of states: 0.5 states/eV/f.u.
formation energy (no corrections): 0.6348 eV/atom

a = 6.060 Å, b = 6.060 Å, c = 10.462 Å
α = 90.00°, β = 90.00°, γ = 90.00°
Space group I-42d (No. 122)
Inequivalent atoms, fractional coordinates:
Be1 0.245 0.250 0.125 (multiplicity 8)
In1 0.000 0.000 0.000 (multiplicity 4)
I1 0.000 0.000 0.500 (multiplicity 4)

***

# 12
A relaxed structure of AlAsS2Cl. Source: Alexandria via LeMat-Bulk, functional GGA-PBE.

Properties
mass density: 3392 kg/m³
Fermi-level density of states: 2.8 states/eV/f.u.
formation energy (no corrections): -0.0369 eV/atom

a = 4.712 Å, b = 4.712 Å, c = 4.443 Å
α = 90.00°, β = 90.00°, γ = 90.00°
Space group P4/mmm (No. 123)
Inequivalent atoms, fractional coordinates:
Al1 0.000 0.000 0.000 (multiplicity 1)
As1 0.500 0.500 0.500 (multiplicity 1)
S1 0.000 0.500 0.000 (multiplicity 2)
Cl1 0.000 0.000 0.500 (multiplicity 1)

***

# 13
A relaxed structure of RbRhSe2N. Source: Alexandria via LeMat-Bulk, functional GGA-PBE.

Properties
mass density: 4168 kg/m³
Fermi-level density of states: 12.9 states/eV/f.u.
formation energy (no corrections): 2.3884 eV/atom

a = 5.818 Å, b = 5.818 Å, c = 4.240 Å
α = 90.00°, β = 90.00°, γ = 90.00°
Space group P4/mmm (No. 123)
Inequivalent atoms, fractional coordinates:
Rb1 0.000 0.000 0.000 (multiplicity 1)
Rh1 0.500 0.500 0.500 (multiplicity 1)
Se1 0.000 0.500 0.000 (multiplicity 2)
N1 0.000 0.000 0.500 (multiplicity 1)

***

# 14
A relaxed structure of GeN2F6. Source: Alexandria via LeMat-Bulk, functional GGA-PBE.

Properties
mass density: 3065 kg/m³
Fermi-level density of states: 4.5 states/eV/f.u.
formation energy (no corrections): -0.1296 eV/atom

a = 5.1432 Å, b = 5.1432 Å, c = 5.0756 Å
α = 90.00°, β = 90.00°, γ = 120.00°
Space group P-3m1 (No. 164)
Inequivalent atoms, fractional coordinates:
Ge1 0.0000 0.0000 0.0000 (multiplicity 1)
N1 0.3333 0.6667 0.2587 (multiplicity 2)
F1 0.1646 0.3291 0.7853 (multiplicity 6)

***

# 15
A relaxed structure of ZnNiRh. Source: Alexandria via LeMat-Bulk, functional GGA-PBE.

Properties
ΔH_f (0 K): -0.16 eV per atom
mass density: 9682 kg/m³
Fermi-level density of states: 3.6 states/eV/f.u.

a = 4.555 Å, b = 7.888 Å, c = 4.585 Å
α = 90.00°, β = 109.03°, γ = 90.00°
Space group C2 (No. 5)
Inequivalent atoms, fractional coordinates:
Zn1 0.000 0.000 0.000 (multiplicity 2)
Zn2 0.000 0.331 0.000 (multiplicity 2)
Ni1 0.000 0.164 0.500 (multiplicity 2)
Ni2 0.000 0.501 0.500 (multiplicity 2)
Rh1 0.000 0.660 0.000 (multiplicity 2)
Rh2 0.000 0.832 0.500 (multiplicity 2)

***

# 16
A relaxed structure of Ta4CdHg. Source: Alexandria via LeMat-Bulk, functional GGA-PBE.

Properties
ΔH_f (0 K): 0.53 eV per atom
mass density: 14251 kg/m³
Fermi-level density of states: 5.1 states/eV/f.u.

a = 7.847 Å, b = 7.847 Å, c = 7.847 Å
α = 90.00°, β = 90.00°, γ = 90.00°
Space group F-43m (No. 216)
Inequivalent atoms, fractional coordinates:
Ta1 0.124 0.124 0.124 (multiplicity 16)
Cd1 0.250 0.250 0.750 (multiplicity 4)
Hg1 0.000 0.000 0.500 (multiplicity 4)

***

# 17
A relaxed structure of YHf2PdBr. Source: Alexandria via LeMat-Bulk, functional GGA-PBE.

Properties
mass density: 8687 kg/m³
Fermi-level density of states: 4.7 states/eV/f.u.
formation energy (no corrections): 0.3162 eV/atom

a = 4.983 Å, b = 4.983 Å, c = 4.867 Å
α = 90.00°, β = 90.00°, γ = 90.00°
Space group P4/mmm (No. 123)
Inequivalent atoms, fractional coordinates:
Y1 0.000 0.000 0.000 (multiplicity 1)
Hf1 0.000 0.500 0.500 (multiplicity 2)
Pd1 0.500 0.500 0.000 (multiplicity 1)
Br1 0.500 0.500 0.500 (multiplicity 1)

***

# 18
A relaxed structure of SrScPb2. Source: Alexandria via LeMat-Bulk, functional GGA-PBE.

Properties
ΔH_f (0 K): 0.03 eV per atom
mass density: 7276 kg/m³
Fermi-level density of states: 5.1 states/eV/f.u.

a = 7.934 Å, b = 7.934 Å, c = 7.934 Å
α = 90.00°, β = 90.00°, γ = 90.00°
Space group F-43m (No. 216)
Inequivalent atoms, fractional coordinates:
Sr1 0.000 0.000 0.000 (multiplicity 4)
Sc1 0.250 0.250 0.750 (multiplicity 4)
Pb1 0.000 0.000 0.500 (multiplicity 4)
Pb2 0.250 0.250 0.250 (multiplicity 4)

***

# 19
A relaxed structure of CsNa2AsO4. Source: Alexandria via LeMat-Bulk, functional GGA-PBE.

Properties
mass density: 3761 kg/m³
Fermi-level density of states: 0.0 states/eV/f.u.
formation energy (no corrections): -1.6782 eV/atom

a = 5.944 Å, b = 5.944 Å, c = 7.942 Å
α = 90.00°, β = 90.00°, γ = 90.00°
Space group I-42m (No. 121)
Inequivalent atoms, fractional coordinates:
Cs1 0.000 0.000 0.000 (multiplicity 2)
Na1 0.000 0.500 0.250 (multiplicity 4)
As1 0.000 0.000 0.500 (multiplicity 2)
O1 0.168 0.168 0.627 (multiplicity 8)

***

# 20
A relaxed structure of AlZn2Br. Source: Alexandria via LeMat-Bulk, functional GGA-PBE.

Properties
mass density: 4967 kg/m³
Fermi-level density of states: 1.1 states/eV/f.u.
formation energy (no corrections): 0.0756 eV/atom

a = 3.318 Å, b = 3.318 Å, c = 7.218 Å
α = 90.00°, β = 90.00°, γ = 90.00°
Space group P4/mmm (No. 123)
Inequivalent atoms, fractional coordinates:
Al1 0.000 0.000 0.000 (multiplicity 1)
Zn1 0.500 0.500 0.222 (multiplicity 2)
Br1 0.000 0.000 0.500 (multiplicity 1)

***

# 21
A relaxed structure of ZrZnSn2H. Source: Alexandria via LeMat-Bulk, functional GGA-PBE.

Properties
mass density: 6648 kg/m³
total energy: -20.7 eV per cell
Fermi-level density of states: 2.5 states/eV/f.u.

a = 5.573 Å, b = 5.573 Å, c = 3.178 Å
α = 90.00°, β = 90.00°, γ = 90.00°
Space group P4/mmm (No. 123)
Inequivalent atoms, fractional coordinates:
Zr1 0.000 0.000 0.000 (multiplicity 1)
Zn1 0.500 0.500 0.500 (multiplicity 1)
Sn1 0.000 0.500 0.500 (multiplicity 2)
H1 0.500 0.500 0.000 (multiplicity 1)

***

# 22
A relaxed structure of YScTc2. Source: Alexandria via LeMat-Bulk, functional GGA-PBE.

Properties
ΔH_f (0 K): 0.29 eV per atom
mass density: 7178 kg/m³
Fermi-level density of states: 4.6 states/eV/f.u.

a = 3.2216 Å, b = 3.2216 Å, c = 25.4681 Å
α = 90.00°, β = 90.00°, γ = 120.00°
Space group R-3m (No. 166, hexagonal axes)
Inequivalent atoms, fractional coordinates:
Y1 0.0000 0.0000 0.0000 (multiplicity 3)
Sc1 0.0000 0.0000 0.5000 (multiplicity 3)
Tc1 0.0000 0.0000 0.2463 (multiplicity 6)

***

# 23
A relaxed structure of Pr5NdSi4. Source: Alexandria via LeMat-Bulk, functional GGA-PBE.

Properties
mass density: 5572 kg/m³
Fermi-level density of states: 5.7 states/eV/f.u.
formation energy (no corrections): -0.4719 eV/atom

a = 15.733 Å, b = 5.172 Å, c = 7.040 Å
α = 90.00°, β = 90.23°, γ = 90.00°
Space group C2/m (No. 12)
Inequivalent atoms, fractional coordinates:
Pr1 0.000 0.000 0.000 (multiplicity 2)
Pr2 0.165 0.500 0.508 (multiplicity 4)
Pr3 0.165 0.500 0.993 (multiplicity 4)
Nd1 0.000 0.000 0.500 (multiplicity 2)
Si1 0.009 0.500 0.253 (multiplicity 4)
Si2 0.177 0.000 0.750 (multiplicity 4)

***

# 24
A relaxed structure of ZrIn. Source: Alexandria via LeMat-Bulk, functional GGA-PBE.

Properties
ΔH_f (0 K): 0.66 eV per atom
mass density: 5382 kg/m³
Fermi-level density of states: 4.0 states/eV/f.u.

a = 5.0531 Å, b = 5.0531 Å, c = 5.7500 Å
α = 90.00°, β = 90.00°, γ = 120.00°
Space group P6_3/mmc (No. 194)
Inequivalent atoms, fractional coordinates:
Zr1 0.3333 0.6667 0.2500 (multiplicity 2)
In1 0.3333 0.6667 0.7500 (multiplicity 2)

***

# 25
A relaxed structure of PrSmMgTc. Source: Alexandria via LeMat-Bulk, functional GGA-PBE.

Properties
ΔH_f (0 K): 0.10 eV per atom
mass density: 6993 kg/m³
Fermi-level density of states: 2.5 states/eV/f.u.

a = 7.324 Å, b = 7.324 Å, c = 7.324 Å
α = 90.00°, β = 90.00°, γ = 90.00°
Space group F-43m (No. 216)
Inequivalent atoms, fractional coordinates:
Pr1 0.000 0.000 0.000 (multiplicity 4)
Sm1 0.000 0.000 0.500 (multiplicity 4)
Mg1 0.250 0.250 0.250 (multiplicity 4)
Tc1 0.250 0.250 0.750 (multiplicity 4)

***

# 26
A relaxed structure of NaCrCu2S4. Source: Alexandria via LeMat-Bulk, functional GGA-PBE.

Properties
mass density: 3469 kg/m³
Fermi-level density of states: 3.2 states/eV/f.u.
formation energy (no corrections): -0.5157 eV/atom

a = 5.717 Å, b = 5.717 Å, c = 9.678 Å
α = 90.00°, β = 90.00°, γ = 90.00°
Space group I-42m (No. 121)
Inequivalent atoms, fractional coordinates:
Na1 0.000 0.000 0.000 (multiplicity 2)
Cr1 0.000 0.000 0.500 (multiplicity 2)
Cu1 0.000 0.500 0.250 (multiplicity 4)
S1 0.211 0.211 0.363 (multiplicity 8)